No. 1
VASP calculation (PBE-GGA) on crystalline CeAl3Si3 at its relaxed geometry.

Calculated values
raw formation energy	152.6	meV/atom
mass density	3.09	g/cm3
total magnetic moment	2.77	Bohr magnetons per cell
space group	Pm-3n
crystal system	cubic

Cell lengths 6.8968, 6.8968, 6.8968 Å; angles 90.00, 90.00, 90.00 degrees
Fractional positions:
Ce  0.0000  0.0000  0.0000
Ce  0.5000  0.5000  0.5000
Al  0.0000  0.2500  0.5000
Al  0.0000  0.7500  0.5000
Al  0.2500  0.5000  0.0000
Al  0.5000  0.0000  0.2500
Al  0.5000  0.0000  0.7500
Al  0.7500  0.5000  0.0000
Si  0.0000  0.5000  0.2500
Si  0.0000  0.5000  0.7500
Si  0.2500  0.0000  0.5000
Si  0.5000  0.2500  0.0000
Si  0.5000  0.7500  0.0000
Si  0.7500  0.0000  0.5000

No. 2
VASP calculation (PBE-GGA) on crystalline Ce15Al4Si at its relaxed geometry.

Calculated values
raw formation energy	-192.1	meV/atom
mass density	7.32	g/cm3
total magnetic moment	12.17	Bohr magnetons per cell
space group	P4/mmm
crystal system	tetragonal

Cell lengths 4.6673, 4.6673, 23.3032 Å; angles 90.00, 90.00, 90.00 degrees
Fractional positions:
Ce  0.0000  0.0000  0.0000
Ce  0.0000  0.0000  0.1993
Ce  0.0000  0.0000  0.3985
Ce  0.0000  0.0000  0.6015
Ce  0.0000  0.0000  0.8007
Ce  0.0000  0.5000  0.0954
Ce  0.0000  0.5000  0.2980
Ce  0.0000  0.5000  0.5000
Ce  0.0000  0.5000  0.7020
Ce  0.0000  0.5000  0.9046
Ce  0.5000  0.0000  0.0954
Ce  0.5000  0.0000  0.2980
Ce  0.5000  0.0000  0.5000
Ce  0.5000  0.0000  0.7020
Ce  0.5000  0.0000  0.9046
Al  0.5000  0.5000  0.1971
Al  0.5000  0.5000  0.3991
Al  0.5000  0.5000  0.6009
Al  0.5000  0.5000  0.8029
Si  0.5000  0.5000  0.0000

No. 3
VASP calculation (PBE-GGA) on crystalline Ce3AlSi3 at its relaxed geometry.

Calculated values
raw formation energy	-610.9	meV/atom
relative energy among the computed polymorphs	0.0	meV per atom
mass density	5.59	g/cm3
total magnetic moment	2.94	Bohr magnetons per cell
space group	Imm2
crystal system	orthorhombic

Cell lengths 9.6166, 9.6166, 9.6166 Å; angles 155.96, 154.12, 35.62 degrees
Fractional positions:
Ce  0.0000  0.0000  0.0000
Ce  0.1930  0.6930  0.5000
Ce  0.3730  0.3730  0.0000
Al  0.6231  0.1231  0.5000
Si  0.5454  0.5454  0.0000
Si  0.7554  0.2554  0.5000
Si  0.8297  0.8297  0.0000

No. 4
VASP calculation (PBE-GGA) on crystalline CeAlSi2 at its relaxed geometry.

Calculated values
raw formation energy	-375.3	meV/atom
mass density	4.78	g/cm3
total magnetic moment	0.05	Bohr magnetons per cell
space group	R-3m
crystal system	trigonal

Cell lengths 5.4770, 5.4770, 5.4770 Å; angles 45.99, 45.99, 45.99 degrees
Fractional positions:
Ce  0.0000  0.0000  0.0000
Al  0.5000  0.5000  0.5000
Si  0.2120  0.2120  0.2120
Si  0.7880  0.7880  0.7880

Number 4 is which compound?
CeAlSi2